Record 1
DFT (PBE) results for a geometry-optimized KRb2NaPd structure.

Cell and atoms, written as extended XYZ:
```
5
Lattice="6.644 0.000 0.000 0.000 6.644 0.000 0.000 0.000 6.385" Properties=species:S:1:pos:R:3 pbc="T T T"
K 0.000 0.000 0.000
Rb 0.000 3.322 3.193
Rb 3.322 0.000 3.193
Na 3.322 3.322 0.000
Pd 0.000 0.000 3.193
```

Summary:
**Energy of formation from the pure elements**: 0.094 eV/atom
**Energy above the lowest structure with this stoichiometry**: 0 meV per atom

Record 2
DFT (PBE) results for a geometry-optimized K2RbNaPd structure.

Cell and atoms, written as extended XYZ:
```
5
Lattice="6.373 0.000 0.000 0.000 6.373 0.000 0.000 0.000 6.620" Properties=species:S:1:pos:R:3 pbc="T T T"
K 0.000 3.186 0.000
K 3.186 0.000 0.000
Rb 0.000 0.000 3.310
Na 3.186 3.186 3.310
Pd 0.000 0.000 0.000
```

Summary:
**Energy of formation from the pure elements**: 0.088 eV/atom
**Energy above the lowest structure with this stoichiometry**: 20 meV per atom

Record 3
DFT (PBE) results for a geometry-optimized K5Rb2NaPd structure.

Cell and atoms, written as extended XYZ:
```
9
Lattice="-4.596 4.596 6.592 4.596 -4.596 6.592 4.596 4.596 -6.592" Properties=species:S:1:pos:R:3 pbc="T T T"
K 0.000 0.000 0.000
K 2.265 2.265 3.109
K 2.331 -2.331 9.701
K -2.331 2.331 9.701
K 2.331 2.331 9.701
Rb 4.596 0.000 6.369
Rb 0.000 4.596 6.369
Na 0.000 0.000 6.119
Pd 0.000 0.000 3.221
```

Summary:
**Energy of formation from the pure elements**: 0.044 eV/atom

Record 4
DFT (PBE) results for a geometry-optimized KRbNa2Pd structure.

Cell and atoms, written as extended XYZ:
```
5
Lattice="5.855 0.000 0.000 0.000 5.855 0.000 0.000 0.000 6.407" Properties=species:S:1:pos:R:3 pbc="T T T"
K 0.000 0.000 0.000
Rb 2.927 2.927 0.000
Na 0.000 2.927 3.204
Na 2.927 0.000 3.204
Pd 2.927 2.927 3.204
```

Summary:
**Energy of formation from the pure elements**: 0.084 eV/atom
**Energy above the lowest structure with this stoichiometry**: 29 meV per atom

Record 5
DFT (PBE) results for a geometry-optimized K2RbNaPd structure.

Cell and atoms, written as extended XYZ:
```
5
Lattice="6.440 0.000 0.000 0.000 6.440 0.000 0.000 0.000 5.892" Properties=species:S:1:pos:R:3 pbc="T T T"
K 0.000 3.220 0.000
K 3.220 0.000 0.000
Rb 0.000 0.000 2.946
Na 3.220 3.220 2.946
Pd 3.220 3.220 0.000
```

Summary:
**Energy of formation from the pure elements**: 0.068 eV/atom
**Energy above the lowest structure with this stoichiometry**: 0 meV per atom

Record 6
DFT (PBE) results for a geometry-optimized K2NaPdRh structure.

Cell and atoms, written as extended XYZ:
```
5
Lattice="6.081 0.000 0.000 0.000 6.081 0.000 0.000 0.000 4.893" Properties=species:S:1:pos:R:3 pbc="T T T"
K 0.000 3.041 0.000
K 3.041 0.000 0.000
Na 0.000 0.000 2.447
Pd 3.041 3.041 0.000
Rh 3.041 3.041 2.447
```

Summary:
**Energy of formation from the pure elements**: 0.513 eV/atom

Record 7
DFT (PBE) results for a geometry-optimized KNaPdS2 structure.

Cell and atoms, written as extended XYZ:
```
10
Lattice="7.067 0.000 0.000 0.000 7.720 0.000 0.000 0.000 5.698" Properties=species:S:1:pos:R:3 pbc="T T T"
K 1.767 0.000 0.218
K 5.300 0.000 5.480
Na 1.767 3.860 1.907
Na 5.300 3.860 3.791
Pd 0.000 0.000 2.849
Pd 3.533 0.000 2.849
S 1.767 1.561 3.232
S 1.767 6.159 3.232
S 5.300 1.561 2.466
S 5.300 6.159 2.466
```

Summary:
**Formation energy from raw total energies**: -0.69 eV/atom

Record 8
DFT (PBE) results for a geometry-optimized KNaSb2Pd structure.

Cell and atoms, written as extended XYZ:
```
10
Lattice="6.238 0.000 0.000 0.000 7.026 0.000 0.000 0.000 7.082" Properties=species:S:1:pos:R:3 pbc="T T T"
K 1.560 0.000 1.536
K 4.679 0.000 5.546
Na 1.560 3.513 2.507
Na 4.679 3.513 4.575
Sb 1.560 2.078 5.425
Sb 1.560 4.948 5.425
Sb 4.679 2.078 1.658
Sb 4.679 4.948 1.658
Pd 0.000 3.513 0.000
Pd 3.119 3.513 0.000
```

Summary:
**Formation energy from raw total energies**: -0.45 eV/atom

Record 9
DFT (PBE) results for a geometry-optimized KNa2SbPd structure.

Cell and atoms, written as extended XYZ:
```
5
Lattice="5.578 0.000 0.000 0.000 5.578 0.000 0.000 0.000 5.106" Properties=species:S:1:pos:R:3 pbc="T T T"
K 0.000 0.000 0.000
Na 0.000 2.789 2.553
Na 2.789 0.000 2.553
Sb 2.789 2.789 0.000
Pd 2.789 2.789 2.553
```

Summary:
**Formation energy from raw total energies**: -0.29 eV/atom
**Energy above the lowest structure with this stoichiometry**: 0 meV per atom

Record 10
DFT (PBE) results for a geometry-optimized KNa2SbPd structure.

Cell and atoms, written as extended XYZ:
```
5
Lattice="5.828 0.000 0.000 0.000 5.828 0.000 0.000 0.000 5.158" Properties=species:S:1:pos:R:3 pbc="T T T"
K 0.000 0.000 0.000
Na 0.000 2.914 2.579
Na 2.914 0.000 2.579
Sb 2.914 2.914 2.579
Pd 2.914 2.914 0.000
```

Summary:
**Formation energy from raw total energies**: -0.19 eV/atom
**Energy above the lowest structure with this stoichiometry**: 101 meV per atom

Record 11
DFT (PBE) results for a geometry-optimized K2NaSnPd structure.

Cell and atoms, written as extended XYZ:
```
5
Lattice="6.179 0.000 0.000 0.000 6.179 0.000 0.000 0.000 5.180" Properties=species:S:1:pos:R:3 pbc="T T T"
K 0.000 3.089 0.000
K 3.089 0.000 0.000
Na 0.000 0.000 2.590
Sn 3.089 3.089 2.590
Pd 3.089 3.089 0.000
```

Summary:
**Energy of formation from the pure elements**: -0.080 eV/atom

Record 12
DFT (PBE) results for a geometry-optimized KNaSr2Pd structure.

Cell and atoms, written as extended XYZ:
```
5
Lattice="5.990 0.000 0.000 0.000 5.990 0.000 0.000 0.000 6.126" Properties=species:S:1:pos:R:3 pbc="T T T"
K 0.000 0.000 0.000
Na 2.995 2.995 0.000
Sr 0.000 2.995 3.063
Sr 2.995 0.000 3.063
Pd 2.995 2.995 3.063
```

Summary:
**Energy of formation from the pure elements**: -0.154 eV/atom
**Energy above the lowest structure with this stoichiometry**: 0 meV per atom

no.,theoretical density (g/cm3)
1,2.00
2,1.81
3,1.48
4,2.09
5,1.99
6,2.85
7,2.49
8,4.41
9,3.27
10,2.97
11,2.74
12,2.60